{"formula": "Ce2PmY3P6", "functional": "PBE", "state": "relaxed", "dos_at_fermi_per_ev_atom": 0.86, "formation_energy_ev_per_atom": -1.581, "energy_ev_per_cell": -87.44, "vol_a3_per_fu": 282.9, "lattice": [[3.515, -6.088, 0.000], [3.515, 6.088, 0.000], [-2.343, 0.000, 6.610]], "species": ["Ce", "Ce", "Pm", "Y", "Y", "Y", "P", "P", "P", "P", "P", "P"], "fractional_positions": [[0.167, 0.833, 0.000], [0.833, 0.167, 0.000], [0.500, 0.500, 0.000], [0.000, 0.000, 0.500], [0.334, 0.666, 0.500], [0.666, 0.334, 0.500], [0.079, 0.416, 0.747], [0.248, 0.248, 0.254], [0.416, 0.079, 0.747], [0.584, 0.921, 0.253], [0.752, 0.752, 0.746], [0.921, 0.584, 0.253]]}

{"formula": "CePmY2P4", "functional": "PBE", "state": "relaxed", "dos_at_fermi_per_ev_atom": 0.72, "formation_energy_ev_per_atom": -1.584, "energy_ev_per_cell": -57.92, "vol_a3_per_fu": 189.3, "lattice": [[7.020, 0.000, 0.000], [0.000, 4.063, 0.000], [-2.339, 0.000, 6.636]], "species": ["Ce", "Pm", "Y", "Y", "P", "P", "P", "P"], "fractional_positions": [[0.000, 0.000, 0.000], [0.000, 0.500, 0.500], [0.500, 0.000, 0.500], [0.500, 0.500, 0.000], [0.253, 0.500, 0.249], [0.254, 0.000, 0.755], [0.746, 0.000, 0.245], [0.747, 0.500, 0.751]]}

{"formula": "Ce3PmZr2P6", "functional": "PBE", "state": "relaxed", "dos_at_fermi_per_ev_atom": 0.94, "formation_energy_ev_per_atom": -1.472, "energy_ev_per_cell": -89.77, "vol_a3_per_fu": 264.5, "lattice": [[3.433, -5.947, 0.000], [3.433, 5.947, 0.000], [-2.296, 0.000, 6.479]], "species": ["Ce", "Ce", "Ce", "Pm", "Zr", "Zr", "P", "P", "P", "P", "P", "P"], "fractional_positions": [[0.000, 0.000, 0.000], [0.337, 0.663, 0.000], [0.663, 0.337, 0.000], [0.500, 0.500, 0.500], [0.168, 0.832, 0.500], [0.832, 0.168, 0.500], [0.074, 0.420, 0.261], [0.232, 0.232, 0.735], [0.420, 0.074, 0.261], [0.580, 0.926, 0.739], [0.768, 0.768, 0.265], [0.926, 0.580, 0.739]]}

{"formula": "CePm3Zr2P6", "functional": "PBE", "state": "relaxed", "dos_at_fermi_per_ev_atom": 0.55, "formation_energy_ev_per_atom": -1.477, "energy_ev_per_cell": -87.46, "vol_a3_per_fu": 268.1, "lattice": [[3.444, -5.963, 0.000], [3.444, 5.963, 0.000], [-2.302, 0.000, 6.527]], "species": ["Ce", "Pm", "Pm", "Pm", "Zr", "Zr", "P", "P", "P", "P", "P", "P"], "fractional_positions": [[0.000, 0.000, 0.000], [0.164, 0.836, 0.500], [0.500, 0.500, 0.500], [0.836, 0.164, 0.500], [0.333, 0.667, 0.000], [0.667, 0.333, 0.000], [0.078, 0.420, 0.233], [0.266, 0.266, 0.770], [0.420, 0.078, 0.233], [0.580, 0.922, 0.767], [0.734, 0.734, 0.230], [0.922, 0.580, 0.767]]}

{"formula": "Ce2PmZrP4", "functional": "PBE", "state": "relaxed", "dos_at_fermi_per_ev_atom": 1.06, "formation_energy_ev_per_atom": -1.477, "energy_ev_per_cell": -58.63, "vol_a3_per_fu": 181.2, "lattice": [[6.924, 0.000, 0.000], [0.000, 3.997, 0.000], [-2.297, 0.000, 6.546]], "species": ["Ce", "Ce", "Pm", "Zr", "P", "P", "P", "P"], "fractional_positions": [[0.000, 0.000, 0.000], [0.000, 0.500, 0.500], [0.500, 0.000, 0.500], [0.500, 0.500, 0.000], [0.254, 0.500, 0.239], [0.262, 0.000, 0.765], [0.738, 0.000, 0.235], [0.746, 0.500, 0.761]]}

{"formula": "Ce4PrP6", "functional": "PBE", "state": "relaxed", "dos_at_fermi_per_ev_atom": 1.07, "formation_energy_ev_per_atom": -1.147, "energy_ev_per_cell": -147.17, "vol_a3_per_fu": 259.1, "lattice": [[5.615, 3.242, 4.744], [-5.615, 3.242, 4.744], [0.000, -6.484, 4.744]], "species": ["Ce", "Ce", "Ce", "Ce", "Ce", "Ce", "Ce", "Ce", "Pr", "Pr", "P", "P", "P", "P", "P", "P", "P", "P", "P", "P", "P", "P"], "fractional_positions": [[0.132, 0.750, 0.368], [0.250, 0.250, 0.250], [0.250, 0.632, 0.868], [0.368, 0.132, 0.750], [0.632, 0.868, 0.250], [0.750, 0.368, 0.132], [0.750, 0.750, 0.750], [0.868, 0.250, 0.632], [0.000, 0.000, 0.000], [0.500, 0.500, 0.500], [0.069, 0.913, 0.670], [0.087, 0.330, 0.931], [0.170, 0.413, 0.569], [0.330, 0.931, 0.087], [0.413, 0.569, 0.170], [0.431, 0.830, 0.587], [0.569, 0.170, 0.413], [0.587, 0.431, 0.830], [0.670, 0.069, 0.913], [0.830, 0.587, 0.431], [0.913, 0.670, 0.069], [0.931, 0.087, 0.330]]}